Entry 1:
{"formula": "Na5Tl4Pb", "functional": "PBE", "state": "relaxed", "lattice_angstrom": [[3.8663, 0.0000, 0.0000], [0.0000, 3.8663, 0.0000], [0.0000, 0.0000, 18.8504]], "species": ["Na", "Na", "Na", "Na", "Na", "Tl", "Tl", "Tl", "Tl", "Pb"], "fractional_positions": [[0.5000, 0.5000, 0.1011], [0.5000, 0.5000, 0.3020], [0.5000, 0.5000, 0.5000], [0.5000, 0.5000, 0.6980], [0.5000, 0.5000, 0.8989], [0.0000, 0.0000, 0.2012], [0.0000, 0.0000, 0.4024], [0.0000, 0.0000, 0.5976], [0.0000, 0.0000, 0.7988], [0.0000, 0.0000, 0.0000]], "sg": "No. 123", "delta_e_f_ev_per_atom": -0.10}

***

Entry 2:
{"formula": "ScPb2Au2", "functional": "PBE", "state": "relaxed", "lattice_angstrom": [[8.0969, 0.0000, 0.0000], [0.0000, 8.0969, 0.0000], [0.0000, 0.0000, 3.6926]], "species": ["Pb", "Pb", "Pb", "Pb", "Sc", "Sc", "Au", "Au", "Au", "Au"], "fractional_positions": [[0.3540, 0.8540, 0.0000], [0.8540, 0.6460, 0.0000], [0.6460, 0.1460, 0.0000], [0.1460, 0.3540, 0.0000], [0.0000, 0.0000, 0.0000], [0.5000, 0.5000, 0.0000], [0.1562, 0.6562, 0.5000], [0.6562, 0.8438, 0.5000], [0.8438, 0.3438, 0.5000], [0.3438, 0.1562, 0.5000]], "sg": "No. 127", "delta_e_f_ev_per_atom": -0.04}

***

Entry 3:
{"formula": "KRb2I2", "functional": "PBE", "state": "relaxed", "lattice_angstrom": [[-3.8545, 7.4652, -5.3945], [-2.3875, -6.4578, -7.2307], [-4.5768, -0.7725, 2.2012]], "species": ["I", "I", "I", "I", "K", "K", "Rb", "Rb", "Rb", "Rb"], "fractional_positions": [[0.3448, 0.8448, 0.0000], [0.8448, 0.6552, 0.0000], [0.6552, 0.1552, 0.0000], [0.1552, 0.3448, 0.0000], [0.0000, 0.0000, 0.0000], [0.5000, 0.5000, 0.0000], [0.1503, 0.6503, 0.5000], [0.6503, 0.8497, 0.5000], [0.8497, 0.3497, 0.5000], [0.3497, 0.1503, 0.5000]], "e_form_raw_ev_per_atom": -1.099, "sg": "No. 127"}

***

Entry 4:
{"formula": "Sc2Cu2O", "functional": "PBE", "state": "relaxed", "lattice_angstrom": [[6.6615, 0.0000, 0.0000], [0.0000, 6.6615, 0.0000], [0.0000, 0.0000, 3.5771]], "species": ["Sc", "Sc", "Sc", "Sc", "O", "O", "Cu", "Cu", "Cu", "Cu"], "fractional_positions": [[0.1718, 0.6718, 0.5000], [0.6718, 0.8282, 0.5000], [0.8282, 0.3282, 0.5000], [0.3282, 0.1718, 0.5000], [0.0000, 0.0000, 0.0000], [0.5000, 0.5000, 0.0000], [0.3729, 0.8729, 0.0000], [0.8729, 0.6271, 0.0000], [0.6271, 0.1271, 0.0000], [0.1271, 0.3729, 0.0000]], "e_form_raw_ev_per_atom": -0.243, "sg": "No. 127"}

***

Entry 5:
{"formula": "Dy8Zn2Co", "functional": "PBE", "state": "relaxed", "lattice_angstrom": [[-4.1043, -0.7334, 2.9846], [1.7306, -6.3866, 0.8106], [5.9596, 4.6236, 4.9270]], "species": ["Dy", "Dy", "Dy", "Dy", "Dy", "Dy", "Dy", "Dy", "Zn", "Zn", "Co"], "fractional_positions": [[0.4111, 0.5681, 0.8221], [0.6544, 0.9613, 0.3089], [0.7986, 0.6886, 0.5973], [0.9733, 0.2148, 0.9467], [0.2014, 0.3114, 0.4027], [0.3456, 0.0387, 0.6911], [0.5889, 0.4319, 0.1779], [0.0267, 0.7852, 0.0533], [0.8103, 0.2701, 0.6206], [0.1897, 0.7299, 0.3794], [0.5000, 0.0000, 0.0000]], "sg": "No. 12", "delta_e_f_ev_per_atom": -0.13}

***

Entry 6:
{"formula": "HfZnSi2Tc", "functional": "PBE", "state": "relaxed", "lattice_angstrom": [[-0.2194, 3.6380, 2.5117], [-4.3073, -1.1353, 1.2680], [1.6117, -2.2759, 3.4372]], "species": ["Si", "Si", "Zn", "Hf", "Tc"], "fractional_positions": [[0.0000, 0.0000, 0.5000], [0.5000, 0.0000, 0.0000], [0.0000, 0.0000, 0.0000], [0.5000, 0.5000, 0.5000], [0.0000, 0.5000, 0.0000]], "e_form_raw_ev_per_atom": 0.958, "sg": "No. 123"}

***

Entry 7:
{"formula": "Ca2AcSbO6", "functional": "PBE", "state": "relaxed", "lattice_angstrom": [[5.8773, 0.0001, 0.0002], [2.9387, 5.0898, 0.0000], [2.9386, 1.6967, 5.1351]], "species": ["Ca", "Ca", "Ac", "Sb", "O", "O", "O", "O", "O", "O"], "fractional_positions": [[0.5329, 0.5329, 0.4014], [0.0238, 0.0238, 0.9286], [0.8051, 0.8051, 0.5846], [0.3204, 0.3204, 0.0388], [0.5684, 0.2173, 0.2392], [0.2173, 0.9751, 0.2392], [0.9751, 0.5684, 0.2392], [0.4056, 0.6741, 0.7814], [0.6741, 0.1389, 0.7814], [0.1389, 0.4056, 0.7814]], "e_form_raw_ev_per_atom": -2.590, "sg": "No. 146"}

***

Entry 8:
{"formula": "Ta2P2Rh", "functional": "PBE", "state": "relaxed", "lattice_angstrom": [[6.7147, 0.0000, 0.0000], [0.0000, 6.7147, 0.0000], [0.0000, 0.0000, 3.3100]], "species": ["P", "P", "P", "P", "Rh", "Rh", "Ta", "Ta", "Ta", "Ta"], "fractional_positions": [[0.3510, 0.8510, 0.0000], [0.8510, 0.6490, 0.0000], [0.6490, 0.1490, 0.0000], [0.1490, 0.3510, 0.0000], [0.0000, 0.0000, 0.0000], [0.5000, 0.5000, 0.0000], [0.1511, 0.6511, 0.5000], [0.6511, 0.8489, 0.5000], [0.8489, 0.3489, 0.5000], [0.3489, 0.1511, 0.5000]], "sg": "No. 127", "delta_e_f_ev_per_atom": -0.58}

***

Entry 9:
{"formula": "NiMo3Cl", "functional": "PBE", "state": "relaxed", "lattice_angstrom": [[-1.7063, -3.7759, 1.3568], [3.8456, -1.9596, -0.6172], [1.1443, 0.9552, 4.0973]], "species": ["Ni", "Mo", "Mo", "Mo", "Cl"], "fractional_positions": [[0.5000, 0.5000, 0.5000], [0.0000, 0.5000, 0.0000], [0.0000, 0.0000, 0.5000], [0.5000, 0.0000, 0.0000], [0.0000, 0.0000, 0.0000]], "e_form_raw_ev_per_atom": 1.212, "sg": "No. 221"}

***

Entry 10:
{"formula": "LaGeOs", "functional": "PBE", "state": "relaxed", "lattice_angstrom": [[-0.7832, 0.1285, 4.2102], [-1.3229, -4.0750, -0.1216], [4.1262, 0.8924, 0.7403]], "species": ["Ge", "Os", "La"], "fractional_positions": [[0.1667, 0.0000, 0.0000], [0.1667, 0.3333, 0.6667], [0.6666, 0.6667, 0.3333]], "sg": "No. 187", "delta_e_f_ev_per_atom": -0.35}

***

Entry 11:
{"formula": "CaY2TaN4", "functional": "PBE", "state": "relaxed", "lattice_angstrom": [[-0.7073, -3.3298, 0.2438], [6.1815, 0.4733, 0.5117], [-1.0891, 1.1188, 12.1217]], "species": ["Ca", "Ca", "Y", "Y", "Y", "Y", "Ta", "Ta", "N", "N", "N", "N", "N", "N", "N", "N"], "fractional_positions": [[0.1095, 0.2189, 0.7500], [0.8905, 0.7811, 0.2500], [0.3705, 0.7410, 0.5314], [0.6295, 0.2590, 0.0314], [0.6295, 0.2590, 0.4686], [0.3705, 0.7410, 0.9686], [0.8424, 0.6847, 0.7500], [0.1576, 0.3153, 0.2500], [0.2565, 0.5129, 0.1238], [0.7435, 0.4871, 0.6238], [0.7435, 0.4871, 0.8762], [0.2565, 0.5129, 0.3762], [0.0000, 0.0000, 0.5000], [0.0000, 0.0000, 0.0000], [0.4369, 0.8738, 0.7500], [0.5631, 0.1262, 0.2500]], "e_form_raw_ev_per_atom": -1.254, "sg": "No. 63"}

***

Entry 12:
{"formula": "LiReSb4", "functional": "PBE", "state": "relaxed", "lattice_angstrom": [[0.0000, 4.3391, 4.3391], [4.3391, 0.0000, 4.3391], [4.3391, 4.3391, 0.0000]], "species": ["Li", "Re", "Sb", "Sb", "Sb", "Sb"], "fractional_positions": [[0.7500, 0.7500, 0.7500], [0.0000, 0.0000, 0.0000], [0.8745, 0.3752, 0.3752], [0.3752, 0.3752, 0.8745], [0.3752, 0.8745, 0.3752], [0.3752, 0.3752, 0.3752]], "e_form_raw_ev_per_atom": 0.998, "sg": "No. 216"}